A plane-wave DFT calculation with GGA+U was carried out for an optimized crystal structure of LiNiF.

a b c (Å): 3.8546 3.8546 2.9948
angles (deg): 90.00 90.00 120.00
Space group P-6m2 (No. 187)
Symmetry-distinct sites (fractional):
Li 0.0000 0.0000 0.0000 (multiplicity 1)
Ni 0.6667 0.3333 0.5000 (multiplicity 1)
F 0.3333 0.6667 0.5000 (multiplicity 1)

Values from the calculation:
- ΔE to the lowest computed polymorph: 0.899 eV per atom
- Volume: 12.85 Å³ per atom
- Electronic total energy: -2.7026 eV/atom

A plane-wave DFT calculation with GGA+U was carried out for an optimized crystal structure of Li3NiF.

a b c (Å): 4.4602 4.4602 4.4602
angles (deg): 90.00 90.00 90.00
Space group Pm-3m (No. 221)
Symmetry-distinct sites (fractional):
Li 0.0000 0.0000 0.5000 (multiplicity 3)
Ni 0.0000 0.0000 0.0000 (multiplicity 1)
F 0.5000 0.5000 0.5000 (multiplicity 1)

Values from the calculation:
- ΔE to the lowest computed polymorph: 0.636 eV per atom
- Volume: 17.75 Å³ per atom
- Electronic total energy: -2.1035 eV/atom